1.
{
  "formula": "LaAgAu2",
  "functional": "GGA-PBEsol",
  "state": "relaxed",
  "total_magnetization_mub_per_fu": 0.0,
  "e_form_ev_per_atom": -0.54,
  "dft_energy_ev_per_atom": -4.665,
  "dos_at_fermi_per_ev_fu": 1.396,
  "lattice_angstrom": [[-2.482, 2.482, 3.489], [2.482, -2.482, 3.489], [2.482, 2.482, -3.489]],
  "species": ["La", "Ag", "Au", "Au"],
  "frac_coords": [[0.000, 0.000, 0.000], [0.500, 0.500, 0.000], [0.250, 0.750, 0.500], [0.750, 0.250, 0.500]]
}

2.
{
  "formula": "LaAgAu2",
  "functional": "GGA-PBEsol",
  "state": "relaxed",
  "total_magnetization_mub_per_fu": 0.0,
  "e_form_ev_per_atom": -0.37,
  "dft_energy_ev_per_atom": -4.495,
  "dos_at_fermi_per_ev_fu": 1.087,
  "lattice_angstrom": [[3.617, 0.000, 0.000], [0.000, 3.617, 0.000], [0.000, 0.000, 6.491]],
  "species": ["La", "Ag", "Au", "Au"],
  "frac_coords": [[0.000, 0.000, 0.000], [0.500, 0.500, 0.309], [0.000, 0.000, 0.505], [0.500, 0.500, 0.733]]
}